# NiGeF5, optimized geometry, DFT GGA+U
# M_tot ... 2.02 μB/f.u.
# Density ... 3.8 g cm⁻³
# Total DFT energy (no corrections) ... -4.486 eV/atom
# DOS at the Fermi energy ... 0.00 states/eV/cell
data_NiGeF5
_chemical_formula_sum 'Ni2 Ge2 F10'
_cell_length_a 5.117
_cell_length_b 5.948
_cell_length_c 7.243
_cell_angle_alpha 108.28
_cell_angle_beta 105.60
_cell_angle_gamma 92.64
_space_group_name_H-M_alt 'P -1'
_space_group_IT_number 2
loop_
_space_group_symop_operation_xyz
'x,y,z'
'-x,-y,-z'
loop_
_atom_site_label
_atom_site_type_symbol
_atom_site_fract_x
_atom_site_fract_y
_atom_site_fract_z
Ni1 Ni 0.000 0.000 0.000
Ni2 Ni 0.500 0.500 0.500
Ge1 Ge 0.039 0.460 0.829
F1 F 0.158 0.170 0.840
F2 F 0.210 0.284 0.247
F3 F 0.219 0.447 0.643
F4 F 0.273 0.719 0.382
F5 F 0.276 0.767 0.977